Record 1
Density functional theory data (PBE) for a geometry-optimized DyPa2Ru4 structure.

DFT formation energy = -0.287 eV/atom
Fermi-level density of states = 0.77 states/eV/atom
Crystal system = monoclinic
Space group = No. 5

Lattice parameters (Å, degrees): 6.7251 6.7251 7.4250 109.20 109.20 92.51
With the nearest neighbours (Å) after each atom.
Element x y z (fractional)
Dy  0.0000  0.0000  0.0000  6 Ru 2.92-3.08
Dy  0.8846  0.1154  0.5000  6 Ru 2.92-3.08
Pa  0.4389  0.5545  0.7483  6 Ru 2.52-2.78
Pa  0.4429  0.0557  0.7511  4 Ru 2.53-2.64
Pa  0.4455  0.5611  0.2517  6 Ru 2.52-2.78
Pa  0.9443  0.5571  0.2489  4 Ru 2.53-2.64
Ru  0.1140  0.7842  0.6457  3 Pa 2.53-2.78, 3 Ru 2.68-2.83
Ru  0.1403  0.5169  0.8754  2 Pa 2.52-2.78, 1 Ru 2.68
Ru  0.2158  0.8860  0.3543  3 Pa 2.53-2.78, 3 Ru 2.68-2.83
Ru  0.4005  0.2580  0.3741  2 Pa 2.53-2.76, 3 Ru 2.68-2.83
Ru  0.4831  0.8597  0.1246  2 Pa 2.52-2.78, 1 Ru 2.68
Ru  0.6700  0.2318  0.1471  3 Pa 2.53-2.78, 3 Ru 2.68-2.83
Ru  0.7420  0.5995  0.6259  2 Pa 2.53-2.76, 3 Ru 2.68-2.83
Ru  0.7682  0.3300  0.8529  3 Pa 2.53-2.78, 3 Ru 2.68-2.83



Record 2
Density functional theory data (PBE) for a geometry-optimized Pr5Sm3Ho structure.

DFT formation energy = 0.255 eV/atom
Fermi-level density of states = 1.35 states/eV/atom
Crystal system = monoclinic
Space group = No. 15

Lattice parameters (Å, degrees): 10.7383 10.7383 11.8380 121.17 121.17 34.41
With the nearest neighbours (Å) after each atom.
Element x y z (fractional)
Pr  0.0377  0.6851  0.3440  2 Sm 3.17-3.53
Pr  0.0815  0.9185  0.7500  2 Ho 3.10-3.25
Pr  0.1354  0.5069  0.6677  4 Sm 3.49-3.85, 5 Pr 3.52-3.69, 1 Ho 3.70
Pr  0.3149  0.9623  0.1560  2 Sm 3.17-3.53
Pr  0.4931  0.8646  0.8323  4 Sm 3.49-3.85, 5 Pr 3.52-3.69, 1 Ho 3.70
Pr  0.5069  0.1354  0.1677  4 Sm 3.49-3.85, 5 Pr 3.52-3.69, 1 Ho 3.70
Pr  0.6851  0.0377  0.8440  2 Sm 3.17-3.53
Pr  0.8646  0.4931  0.3323  4 Sm 3.49-3.85, 5 Pr 3.52-3.69, 1 Ho 3.70
Pr  0.9185  0.0815  0.2500  2 Ho 3.10-3.25
Pr  0.9623  0.3149  0.6560  2 Sm 3.17-3.53
Sm  0.0980  0.5498  0.9746  1 Ho 3.41, 2 Sm 3.41-3.75, 4 Pr 3.49-3.64
Sm  0.4502  0.9020  0.5254  1 Ho 3.41, 2 Sm 3.41-3.75, 4 Pr 3.49-3.64
Sm  0.5000  0.5000  0.0000  2 Ho 3.02, 2 Pr 3.17
Sm  0.5000  0.5000  0.5000  2 Ho 3.02, 2 Pr 3.17
Sm  0.5498  0.0980  0.4746  1 Ho 3.41, 2 Sm 3.41-3.75, 4 Pr 3.49-3.64
Sm  0.9020  0.4502  0.0254  1 Ho 3.41, 2 Sm 3.41-3.75, 4 Pr 3.49-3.64
Ho  0.4063  0.5937  0.2500  2 Sm 3.02, 2 Pr 3.10-3.25
Ho  0.5937  0.4063  0.7500  2 Sm 3.02, 2 Pr 3.10-3.25